Entry from Alexandria: a relaxed Lu2ZnIr crystal (PBE).

Computed properties:
- size of the total moment (μB/atom) = 0.000
- energy of formation (eV per atom) = -0.706
- E above lowest polymorph (meV per atom) = 0
- space group = Fm-3m
- N(E_F) (states/eV/atom) = 0.540
- E (eV per formula unit) = -22.00

Lattice parameters (Å, degrees): 6.8155 6.8155 6.8155 90.00 90.00 90.00
Closest atoms and distances in Å follow each position.
Atoms (fractional coordinates):
Lu 0.2500 0.2500 0.2500  4 Ir 2.95, 4 Zn 2.95
Lu 0.2500 0.2500 0.7500  4 Ir 2.95, 4 Zn 2.95
Lu 0.2500 0.7500 0.2500  4 Ir 2.95, 4 Zn 2.95
Lu 0.2500 0.7500 0.7500  4 Ir 2.95, 4 Zn 2.95
Lu 0.7500 0.2500 0.2500  4 Ir 2.95, 4 Zn 2.95
Lu 0.7500 0.2500 0.7500  4 Ir 2.95, 4 Zn 2.95
Lu 0.7500 0.7500 0.2500  4 Ir 2.95, 4 Zn 2.95
Lu 0.7500 0.7500 0.7500  4 Ir 2.95, 4 Zn 2.95
Zn 0.0000 0.0000 0.0000  8 Lu 2.95
Zn 0.0000 0.5000 0.5000  8 Lu 2.95
Zn 0.5000 0.0000 0.5000  8 Lu 2.95
Zn 0.5000 0.5000 0.0000  8 Lu 2.95
Ir 0.0000 0.0000 0.5000  8 Lu 2.95
Ir 0.0000 0.5000 0.0000  8 Lu 2.95
Ir 0.5000 0.0000 0.0000  8 Lu 2.95
Ir 0.5000 0.5000 0.5000  8 Lu 2.95